# 1
Below is a geometry-optimized La5Os2O12 structure, with properties calculated at the GGA-PBE level.

Lattice parameters (Å, degrees): 6.084 7.191 7.836 105.78 90.00 115.03
Fractional coordinates of all 19 atoms:
Os1 0.236 0.000 0.000
Os2 0.764 0.000 0.000
O1 0.587 0.683 0.922
O2 0.906 0.311 0.578
O3 0.904 0.317 0.078
O4 0.500 0.000 0.833
O5 0.595 0.689 0.422
O6 0.500 0.000 0.167
O7 0.001 0.001 0.184
O8 0.094 0.689 0.422
O9 0.413 0.317 0.078
O10 0.096 0.683 0.922
O11 0.999 0.999 0.816
O12 0.405 0.311 0.578
La1 0.309 0.618 0.168
La2 0.693 0.386 0.357
La3 0.307 0.614 0.643
La4 0.000 0.000 0.500
La5 0.691 0.382 0.832

Properties
symmetry	C2/m
ΔE_f (raw)	-50.480	eV/f.u.
calculated total energy	-8.267	eV per atom



# 2
Below is a geometry-optimized MgPaGa2O8 structure, with properties calculated at the GGA-PBE level.

Lattice parameters (Å, degrees): 5.920 5.920 5.920 109.14 109.14 110.13
Fractional coordinates of all 12 atoms:
Pa1 0.000 0.000 0.000
Ga1 0.500 0.500 0.000
Ga2 0.750 0.250 0.500
Mg1 0.250 0.750 0.500
O1 0.491 0.690 0.801
O2 0.372 0.071 0.301
O3 0.310 0.509 0.199
O4 0.310 0.112 0.801
O5 0.770 0.071 0.699
O6 0.888 0.690 0.199
O7 0.929 0.628 0.699
O8 0.929 0.230 0.301

Properties
symmetry	I-4m2
ΔE_f (raw)	-22.797	eV/f.u.
calculated total energy	-6.634	eV per atom